(1)
First-principles (PBE) data for a relaxed Zn2Se crystal, as listed in Alexandria via LeMat-Bulk.

- ΔE_f (raw): -55.4 kJ/mol of formula units
- E above lowest polymorph: 0 meV/atom

extended XYZ file:
```
6
Lattice="6.2077 -1.9049 0.0000 6.2077 1.9049 0.0000 -2.3086 0.0000 5.1583" Properties=species:S:1:pos:R:3 pbc="T T T"
Zn 0.0000 0.0000 0.0000
Zn 1.1656 0.0000 2.6878
Zn 5.7047 0.0000 1.9573
Zn 10.0314 0.0000 0.8860
Se 0.2080 0.0000 5.0948
Se 3.5849 0.0000 3.4320
```


(2)
First-principles (PBE) data for a relaxed Pu2Zn12Ir5 crystal, as listed in Alexandria via LeMat-Bulk.

- DFT formation energy: -0.20 eV per atom

extended XYZ file:
```
19
Lattice="4.5231 2.6114 4.3819 -4.5231 2.6114 4.3819 0.0000 -5.2229 4.3819" Properties=species:S:1:pos:R:3 pbc="T T T"
Pu 0.0000 0.0000 2.4193
Pu 0.0000 0.0000 10.7264
Zn 0.0000 -2.6845 4.1648
Zn -2.3248 1.3422 4.1648
Zn -1.3191 -2.2847 6.5729
Zn -2.6381 0.0000 6.5729
Zn -2.3248 -1.3422 8.9809
Zn 1.3191 -2.2847 6.5729
Zn -1.3191 2.2847 6.5729
Zn 2.3248 1.3422 4.1648
Zn 2.6381 0.0000 6.5729
Zn 1.3191 2.2847 6.5729
Zn 2.3248 -1.3422 8.9809
Zn 0.0000 2.6845 8.9809
Ir -2.2616 -1.3057 4.3819
Ir 0.0000 0.0000 5.2050
Ir -2.2616 1.3057 8.7638
Ir 0.0000 2.6114 4.3819
Ir 0.0000 0.0000 7.9407
```


no.,DFT total energy (eV per atom),magnetization (μB/f.u.)
1,-2.20,0.00
2,-4.85,10.17